# 1
Material: Cs2KTlBr5
Method: DFT, GGA-PBE
State: optimized geometry

## Properties
Uncorrected energy ... -51.760 eV for the cell shown
Crystal system ... orthorhombic
Magnetization ... 0.00 μB/cell
Formation energy without anion corrections ... -1.372 eV/atom

Cell lengths 10.3935, 10.3935, 14.5855 Å; angles 90.00, 90.00, 150.86 degrees
Fractional coordinates of all 18 atoms:
1 Cs 0.1143 0.8857 0.5000
2 Cs 0.1449 0.8551 0.1205
3 Cs 0.8551 0.1449 0.6205
4 Cs 0.8857 0.1143 0.0000
5 K 0.2121 0.7879 0.8271
6 K 0.7879 0.2121 0.3271
7 Tl 0.4703 0.5297 0.2606
8 Tl 0.5297 0.4703 0.7606
9 Br 0.0418 0.9582 0.8344
10 Br 0.2897 0.7103 0.4689
11 Br 0.3292 0.6708 0.1845
12 Br 0.3780 0.6220 0.8104
13 Br 0.4882 0.5118 0.5769
14 Br 0.5118 0.4882 0.0769
15 Br 0.6220 0.3780 0.3104
16 Br 0.6708 0.3292 0.6845
17 Br 0.7103 0.2897 0.9689
18 Br 0.9582 0.0418 0.3344

# 2
Material: Cs3KTl2Br6
Method: DFT, GGA-PBE
State: optimized geometry

## Properties
Uncorrected energy ... -36.009 eV for the cell shown
Crystal system ... monoclinic
Magnetization ... 0.00 μB/cell
Formation energy without anion corrections ... -1.465 eV/atom

Cell lengths 8.6342, 8.6342, 8.6276 Å; angles 99.59, 99.59, 119.99 degrees
Fractional coordinates of all 12 atoms:
1 Cs 0.0000 0.0000 0.0000
2 Cs 0.3317 0.6683 0.0000
3 Cs 0.6683 0.3317 0.0000
4 K 0.5000 0.5000 0.5000
5 Tl 0.1660 0.8340 0.5000
6 Tl 0.8340 0.1660 0.5000
7 Br 0.0936 0.4246 0.2739
8 Br 0.2450 0.2450 0.7282
9 Br 0.4246 0.0936 0.2739
10 Br 0.5754 0.9064 0.7261
11 Br 0.7550 0.7550 0.2718
12 Br 0.9064 0.5754 0.7261